No. 1
Computed, not measured: a geometry-optimized Na2TmFeO4 structure at the PBE with a Hubbard U level of DFT.

The structure belongs to space group C2/c (No. 15); the cell edges are 9.055, 8.976 and 6.614 Å and the angles 90.00°, 132.59° and 90.00°. The asymmetric unit holds Na at (0.000, 0.000, 0.000), Na at (0.250, 0.250, 0.000), Tm at (0.250, 0.250, 0.500), Fe at (0.000, 0.500, 0.000), O at (0.012, 0.272, 0.036) and O at (0.223, 0.494, 0.518).

The calculation puts the uncorrected energy at -6.142 eV per atom.

=====

No. 2
Computed, not measured: a geometry-optimized Na3Tm2FeO6 structure at the PBE with a Hubbard U level of DFT.

The structure belongs to space group C2/m (No. 12); the cell edges are 5.649, 9.799 and 5.836 Å and the angles 90.00°, 108.58° and 90.00°. The asymmetric unit holds Na at (0.000, 0.000, 0.000), Na at (0.000, 0.341, 0.000), Tm at (0.000, 0.167, 0.500), Fe at (0.000, 0.500, 0.500), O at (0.227, 0.342, 0.707) and O at (0.249, 0.500, 0.296).

As for the density of states at the Fermi level: 0.000 states/eV/f.u. The calculation puts the uncorrected energy at -6.442 eV per atom.